--- A ---
PBE UPa2Si, optimized geometry; SG = R-3m, No. 166; crystal system = trigonal
1.0
1.509 0.871 10.703
-1.509 0.871 10.703
0.000 -1.742 10.703
U Pa Si
1 2 1
Cartesian
0.000 0.000 0.000 U
0.000 0.000 2.882 Pa
0.000 0.000 29.227 Pa
0.000 0.000 16.054 Si

***

--- B ---
PBE UPa2Si, optimized geometry; SG = Fm-3m, No. 225; crystal system = cubic
1.0
0.000 3.466 3.466
3.466 0.000 3.466
3.466 3.466 0.000
U Pa Si
1 2 1
Cartesian
0.000 0.000 0.000 U
1.733 1.733 1.733 Pa
5.198 5.198 5.198 Pa
3.466 3.466 3.466 Si

***

--- C ---
PBE UPa2Si, optimized geometry; SG = P4/mmm, No. 123; crystal system = tetragonal
1.0
4.462 0.000 0.000
0.000 4.462 0.000
0.000 0.000 4.220
U Pa Si
1 2 1
Cartesian
0.000 0.000 0.000 U
0.000 2.231 2.110 Pa
2.231 0.000 2.110 Pa
2.231 2.231 0.000 Si

***

Which of them is least stable? Easy: A.

***

--- A ---
PBE PaVSi, optimized geometry; SG = P-6m2, No. 187; crystal system = hexagonal
1.0
4.338 0.000 0.000
-2.169 3.757 0.000
0.000 0.000 3.513
Pa V Si
1 1 1
Cartesian
0.000 0.000 0.000 Pa
2.169 1.252 1.757 V
0.000 2.504 1.757 Si

***

--- B ---
PBE PaVSi, optimized geometry; SG = Pnma, No. 62; crystal system = orthorhombic
1.0
7.462 0.000 0.000
0.000 3.645 0.000
0.000 0.000 7.868
Pa V Si
4 4 4
Cartesian
0.133 0.911 1.139 Pa
3.598 2.734 5.073 Pa
3.864 0.911 2.795 Pa
7.329 2.734 6.729 Pa
0.911 0.911 4.443 V
2.820 2.734 0.509 V
4.642 0.911 7.359 V
6.551 2.734 3.425 V
1.577 2.734 2.855 Si
2.154 0.911 6.789 Si
5.308 2.734 1.079 Si
5.885 0.911 5.013 Si

***

--- C ---
PBE PaVSi, optimized geometry; SG = I4/mmm, No. 139; crystal system = tetragonal
1.0
-2.011 2.011 6.966
2.011 -2.011 6.966
2.011 2.011 -6.966
Pa V Si
2 2 2
Cartesian
0.000 0.000 2.270 Pa
0.000 0.000 11.662 Pa
2.011 0.000 0.000 V
0.000 2.011 0.000 V
0.000 0.000 5.326 Si
0.000 0.000 8.606 Si

***

Which of them is least stable? Easy: A.

***

--- A ---
PBE PaV2Si, optimized geometry; SG = P4/mmm, No. 123; crystal system = tetragonal
1.0
4.291 0.000 0.000
0.000 4.291 0.000
0.000 0.000 3.474
Pa V Si
1 2 1
Cartesian
0.000 0.000 0.000 Pa
0.000 2.145 1.737 V
2.145 0.000 1.737 V
2.145 2.145 0.000 Si

***

--- B ---
PBE PaV2Si, optimized geometry; SG = P4/mmm, No. 123; crystal system = tetragonal
1.0
3.257 0.000 0.000
0.000 3.257 0.000
0.000 0.000 6.346
Pa V Si
1 2 1
Cartesian
0.000 0.000 0.000 Pa
1.628 1.628 2.062 V
1.628 1.628 4.284 V
0.000 0.000 3.173 Si

***

--- C ---
PBE PaV2Si, optimized geometry; SG = Fm-3m, No. 225; crystal system = cubic
1.0
0.000 3.145 3.145
3.145 0.000 3.145
3.145 3.145 0.000
Pa V Si
1 2 1
Cartesian
0.000 0.000 0.000 Pa
1.573 1.573 1.573 V
4.718 4.718 4.718 V
3.145 3.145 3.145 Si

***

Which of them is least stable? Easy: B.

***

--- A ---
PBE PaV2Si2, optimized geometry; SG = P2_1/m, No. 11; crystal system = monoclinic
1.0
4.501 0.000 0.000
0.000 3.540 0.000
-0.983 0.000 10.519
Pa V Si
2 4 4
Cartesian
0.618 0.885 2.602 Pa
2.900 2.655 7.917 Pa
0.624 2.655 5.125 V
0.651 0.885 9.414 V
2.867 2.655 1.105 V
2.895 0.885 5.394 V
0.701 2.655 0.271 Si
0.647 0.885 6.864 Si
2.871 2.655 3.655 Si
2.818 0.885 10.247 Si

***

--- B ---
PBE PaV2Si2, optimized geometry; SG = Cmc2_1, No. 36; crystal system = orthorhombic
1.0
1.810 -5.921 0.000
1.810 5.921 0.000
0.000 0.000 7.797
Pa V Si
2 4 4
Cartesian
1.810 4.846 3.899 Pa
1.810 -4.846 0.000 Pa
1.810 3.616 0.782 V
1.810 1.423 2.915 V
1.810 -1.423 6.813 V
1.810 -3.616 4.680 V
1.810 2.943 6.254 Si
1.810 0.661 5.400 Si
1.810 -0.661 1.502 Si
1.810 -2.943 2.355 Si

***

Which of them is least stable? Easy: A.

***

--- A ---
PBE Pa2VSi2, optimized geometry; SG = Cmc2_1, No. 36; crystal system = orthorhombic
1.0
2.250 -7.569 0.000
2.250 7.569 0.000
0.000 0.000 5.809
Pa V Si
4 2 4
Cartesian
2.250 7.493 2.904 Pa
2.250 4.558 1.603 Pa
2.250 -4.558 4.507 Pa
2.250 -7.493 0.000 Pa
2.250 1.603 1.494 V
2.250 -1.603 4.399 V
2.250 4.923 4.502 Si
2.250 1.127 4.287 Si
2.250 -1.127 1.382 Si
2.250 -4.923 1.598 Si

***

--- B ---
PBE Pa2VSi2, optimized geometry; SG = P4/mbm, No. 127; crystal system = tetragonal
1.0
6.678 0.000 0.000
0.000 6.678 0.000
0.000 0.000 4.356
Pa V Si
4 2 4
Cartesian
1.186 2.153 0.000 Pa
2.153 5.492 0.000 Pa
4.525 1.186 0.000 Pa
5.492 4.525 0.000 Pa
0.000 0.000 2.178 V
3.339 3.339 2.178 V
0.856 4.195 2.178 Si
2.483 0.856 2.178 Si
4.195 5.822 2.178 Si
5.822 2.483 2.178 Si

***

Which of them is least stable? Easy: A.

***

--- A ---
PBE YPaSi, optimized geometry; SG = P4/nmm, No. 129; crystal system = tetragonal
1.0
4.148 0.000 0.000
0.000 4.148 0.000
0.000 0.000 8.314
Y Pa Si
2 2 2
Cartesian
1.037 1.037 1.137 Y
3.111 3.111 7.177 Y
1.037 3.111 4.157 Pa
3.111 1.037 4.157 Pa
1.037 1.037 6.387 Si
3.111 3.111 1.927 Si

***

--- B ---
PBE YPaSi, optimized geometry; SG = P3m1, No. 156; crystal system = trigonal
1.0
4.853 0.000 0.000
-2.426 4.203 0.000
0.000 0.000 3.536
Y Pa Si
1 1 1
Cartesian
0.000 0.000 0.000 Y
0.000 2.802 1.658 Pa
2.426 1.401 2.681 Si

***

Which of them is least stable? Easy: B.

***

--- A ---
PBE ZrPaSi, optimized geometry; SG = I4mm, No. 107; crystal system = tetragonal
1.0
-1.799 1.799 4.989
1.799 -1.799 4.989
1.799 1.799 -4.989
Zr Pa Si
1 1 1
Cartesian
0.000 0.000 0.000 Zr
0.000 0.000 7.112 Pa
0.000 0.000 3.888 Si

***

--- B ---
PBE ZrPaSi, optimized geometry; SG = P-6m2, No. 187; crystal system = hexagonal
1.0
4.787 0.000 0.000
-2.394 4.146 0.000
0.000 0.000 3.277
Zr Pa Si
1 1 1
Cartesian
0.000 0.000 0.000 Zr
0.000 2.764 1.638 Pa
2.394 1.382 0.000 Si

***

Which of them is least stable? Easy: B.

***

--- A ---
PBE SmPa3, optimized geometry; SG = Pmm2, No. 25; crystal system = orthorhombic
1.0
3.189 0.000 0.000
0.000 5.602 0.000
0.000 0.000 5.852
Sm Pa
1 3
Cartesian
0.000 0.000 0.000 Sm
0.000 2.801 4.277 Pa
1.595 0.000 2.953 Pa
1.595 2.801 1.445 Pa

***

--- B ---
PBE SmPa3, optimized geometry; SG = I4/mmm, No. 139; crystal system = tetragonal
1.0
-2.351 2.351 4.765
2.351 -2.351 4.765
2.351 2.351 -4.765
Sm Pa
1 3
Cartesian
0.000 0.000 0.000 Sm
2.351 0.000 2.383 Pa
0.000 0.000 4.765 Pa
0.000 2.351 2.383 Pa

***

--- C ---
PBE SmPa3, optimized geometry; SG = Pm-3m, No. 221; crystal system = cubic
1.0
4.731 0.000 0.000
0.000 4.731 0.000
0.000 0.000 4.731
Sm Pa
1 3
Cartesian
0.000 0.000 0.000 Sm
0.000 2.366 2.366 Pa
2.366 0.000 2.366 Pa
2.366 2.366 0.000 Pa

***

Which of them is least stable? Easy: C.

***

--- A ---
PBE SmPa2, optimized geometry; SG = I4/mmm, No. 139; crystal system = tetragonal
1.0
-1.614 1.614 7.780
1.614 -1.614 7.780
1.614 1.614 -7.780
Sm Pa
1 2
Cartesian
0.000 0.000 0.000 Sm
0.000 0.000 5.084 Pa
0.000 0.000 10.477 Pa

***

--- B ---
PBE SmPa2, optimized geometry; SG = Fd-3m, No. 227; crystal system = cubic
1.0
0.000 4.368 4.368
4.368 0.000 4.368
4.368 4.368 0.000
Sm Pa
2 4
Cartesian
1.092 1.092 1.092 Sm
7.643 7.643 7.643 Sm
4.368 2.184 2.184 Pa
2.184 4.368 2.184 Pa
2.184 2.184 4.368 Pa
4.368 4.368 4.368 Pa

***

Which of them is least stable? Easy: B.

***

--- A ---
PBE Sm2PaSn, optimized geometry; SG = P4/mmm, No. 123; crystal system = tetragonal
1.0
3.925 0.000 0.000
0.000 3.925 0.000
0.000 0.000 7.258
Sm Pa Sn
2 1 1
Cartesian
0.000 0.000 1.680 Sm
0.000 0.000 5.578 Sm
1.962 1.962 3.629 Pa
1.962 1.962 0.000 Sn

***

--- B ---
PBE Sm2PaSn, optimized geometry; SG = R-3m, No. 166; crystal system = trigonal
1.0
1.720 0.993 11.941
-1.720 0.993 11.941
0.000 -1.987 11.941
Sm Pa Sn
2 1 1
Cartesian
0.000 0.000 3.196 Sm
0.000 0.000 32.627 Sm
0.000 0.000 17.912 Pa
0.000 0.000 0.000 Sn

***

--- C ---
PBE Sm2PaSn, optimized geometry; SG = P4/mmm, No. 123; crystal system = tetragonal
1.0
4.897 0.000 0.000
0.000 4.897 0.000
0.000 0.000 4.604
Sm Pa Sn
2 1 1
Cartesian
0.000 2.448 0.000 Sm
2.448 0.000 0.000 Sm
0.000 0.000 2.302 Pa
2.448 2.448 2.302 Sn

***

Which of them is least stable? Easy: B.

***

--- A ---
PBE TbSm2Pa, optimized geometry; SG = P4/mmm, No. 123; crystal system = tetragonal
1.0
3.433 0.000 0.000
0.000 3.433 0.000
0.000 0.000 10.395
Tb Sm Pa
1 2 1
Cartesian
0.000 0.000 0.000 Tb
1.716 1.716 2.788 Sm
1.716 1.716 7.607 Sm
0.000 0.000 5.198 Pa

***

--- B ---
PBE TbSm2Pa, optimized geometry; SG = R-3m, No. 166; crystal system = trigonal
1.0
1.683 0.971 12.385
-1.683 0.971 12.385
0.000 -1.943 12.385
Tb Sm Pa
1 2 1
Cartesian
0.000 0.000 0.000 Tb
0.000 0.000 15.356 Sm
0.000 0.000 21.798 Sm
0.000 0.000 18.577 Pa

***

Which of them is least stable? Easy: B.